A geometry-optimized Tl2SnPb structure. Source: the Alexandria database, functional PBE.

Values from the calculation:
ΔE to the lowest computed polymorph	62	meV per atom
E_form	0.060	eV per atom

Lattice parameters (Å, degrees): 3.9152 3.9152 7.7940 90.00 90.00 90.00
With the nearest neighbours (Å) after each atom.
Element x y z (fractional)
Pb  0.5000  0.5000  0.0000  8 Tl 3.42
Tl  0.0000  0.0000  0.7418  4 Sn 3.35, 4 Pb 3.42
Tl  0.0000  0.0000  0.2582  4 Sn 3.35, 4 Pb 3.42
Sn  0.5000  0.5000  0.5000  8 Tl 3.35

---

A geometry-optimized Cd5In structure. Source: the Alexandria database, functional PBE.

Values from the calculation:
ΔE to the lowest computed polymorph	83	meV per atom
E_form	0.093	eV per atom

Lattice parameters (Å, degrees): 6.0099 6.0099 4.8894 90.00 90.00 120.00
With the nearest neighbours (Å) after each atom.
Element x y z (fractional)
Cd  0.3333  0.6667  0.0000  6 Cd 3.00
Cd  0.6667  0.3333  0.0000  6 Cd 3.00
Cd  0.5000  0.0000  0.5000  8 Cd 3.00
Cd  0.0000  0.5000  0.5000  8 Cd 3.00
Cd  0.5000  0.5000  0.5000  8 Cd 3.00
In  0.0000  0.0000  0.0000  18 Cd 3.47-3.87

---

A geometry-optimized Nd8Ru2Au structure. Source: the Alexandria database, functional PBE.

Values from the calculation:
E_form	-0.164	eV per atom

Lattice parameters (Å, degrees): 5.9613 7.9410 7.9410 114.46 99.70 99.70
With the nearest neighbours (Å) after each atom.
Element x y z (fractional)
Nd  0.9279  0.9190  0.6651  2 Ru 2.84-2.86
Nd  0.9279  0.6651  0.9190  2 Ru 2.84-2.86
Nd  0.3128  0.6201  0.6201  1 Au 3.10, 2 Ru 3.27
Nd  0.5000  0.7678  0.2322  1 Au 3.10, 2 Ru 3.10
Nd  0.5000  0.2322  0.7678  1 Au 3.10, 2 Ru 3.10
Nd  0.6872  0.3799  0.3799  1 Au 3.10, 2 Ru 3.27
Nd  0.0721  0.3349  0.0810  2 Ru 2.84-2.86
Nd  0.0721  0.0810  0.3349  2 Ru 2.84-2.86
Ru  0.0000  0.2970  0.7030  6 Nd 2.84-3.10
Ru  0.0000  0.7030  0.2970  6 Nd 2.84-3.10
Au  0.5000  0.0000  0.0000  4 Nd 3.10

---

A geometry-optimized Ca6NdCd2 structure. Source: the Alexandria database, functional PBE.

Values from the calculation:
E_form	-0.121	eV per atom

Lattice parameters (Å, degrees): 3.8803 7.0230 12.5496 76.80 81.11 73.96
With the nearest neighbours (Å) after each atom.
Element x y z (fractional)
Ca  0.6813  0.5172  0.1202  2 Cd 3.29, 2 Ca 3.60
Ca  0.3187  0.4828  0.8798  2 Cd 3.29, 2 Ca 3.60
Ca  0.3249  0.7596  0.5907  2 Cd 3.47, 6 Ca 3.67-3.88
Ca  0.9632  0.7525  0.3212  2 Cd 3.28, 1 Ca 3.67
Ca  0.0368  0.2475  0.6788  2 Cd 3.28, 1 Ca 3.67
Ca  0.6751  0.2404  0.4093  2 Cd 3.47, 6 Ca 3.67-3.88
Nd  0.0000  0.0000  0.0000  4 Cd 3.36
Cd  0.3398  0.1214  0.1991  6 Ca 3.28-3.47, 2 Nd 3.36
Cd  0.6602  0.8786  0.8009  6 Ca 3.28-3.47, 2 Nd 3.36

---

A geometry-optimized PrScTa structure. Source: the Alexandria database, functional PBE.

Values from the calculation:
E_form	0.402	eV per atom

Lattice parameters (Å, degrees): 3.2592 3.1807 16.4306 90.00 90.00 120.82
With the nearest neighbours (Å) after each atom.
Element x y z (fractional)
Sc  0.3344  0.6688  0.0000  6 Ta 3.04-3.09, 6 Sc 3.18-3.26
Sc  0.5337  0.0674  0.5000  6 Sc 3.18-3.26, 2 Pr 3.53
Ta  0.6835  0.3670  0.8522  3 Sc 3.04-3.09, 2 Pr 3.17, 6 Ta 3.18-3.26
Ta  0.6835  0.3670  0.1478  3 Sc 3.04-3.09, 2 Pr 3.17, 6 Ta 3.18-3.26
Pr  0.2157  0.4315  0.3131  2 Ta 3.17, 6 Pr 3.18-3.26, 1 Sc 3.53
Pr  0.2157  0.4315  0.6869  2 Ta 3.17, 6 Pr 3.18-3.26, 1 Sc 3.53

---

A geometry-optimized LiNbCo2 structure. Source: the Alexandria database, functional PBE.

Values from the calculation:
ΔE to the lowest computed polymorph	0	meV per atom
E_form	-0.010	eV per atom

Lattice parameters (Å, degrees): 4.1398 4.1398 4.1398 60.00 60.00 60.00
With the nearest neighbours (Å) after each atom.
Element x y z (fractional)
Nb  0.5000  0.5000  0.5000  8 Co 2.54
Co  0.2500  0.2500  0.2500  4 Nb 2.54, 4 Li 2.54
Co  0.7500  0.7500  0.7500  4 Nb 2.54, 4 Li 2.54
Li  0.0000  0.0000  0.0000  8 Co 2.54

---

A geometry-optimized Tb4SbTe2Pt structure. Source: the Alexandria database, functional PBE.

Values from the calculation:
E_form (uncorrected)	-1242	meV per atom

Lattice parameters (Å, degrees): 4.2638 7.5153 7.6526 108.97 90.00 90.00
With the nearest neighbours (Å) after each atom.
Element x y z (fractional)
Tb  0.5000  0.2566  0.2341  1 Pt 2.95, 2 Sb 3.04, 3 Te 3.10-3.23
Tb  0.5000  0.7434  0.7659  1 Pt 2.95, 2 Sb 3.04, 3 Te 3.10-3.23
Tb  0.0000  0.2818  0.7848  2 Pt 2.86, 1 Sb 3.08, 1 Te 3.12
Tb  0.0000  0.7182  0.2152  2 Pt 2.86, 1 Sb 3.08, 1 Te 3.12
Sb  0.0000  0.0000  0.0000  6 Tb 3.04-3.08
Te  0.5000  0.0000  0.5000  6 Tb 3.23-3.28
Te  0.0000  0.5000  0.5000  6 Tb 3.10-3.12
Pt  0.5000  0.5000  0.0000  6 Tb 2.86-2.95

---

A geometry-optimized V5Fe2Ni12 structure. Source: the Alexandria database, functional PBE.

Values from the calculation:
E_form	0.172	eV per atom

Lattice parameters (Å, degrees): 4.7849 7.2423 7.8213 106.71 90.00 109.29
With the nearest neighbours (Å) after each atom.
Element x y z (fractional)
V  0.3113  0.6225  0.6370  9 Ni 2.33-2.60
V  0.3716  0.7432  0.1312  5 Ni 2.23-2.46
V  0.0000  0.0000  0.5000  6 Ni 2.35-2.46
V  0.6284  0.2568  0.8688  5 Ni 2.23-2.46
V  0.6887  0.3775  0.3630  9 Ni 2.33-2.60
Fe  0.7408  0.0000  0.0000  2 Fe 2.30-2.48, 2 V 2.56
Fe  0.2592  0.0000  0.0000  2 Fe 2.30-2.48, 2 V 2.56
Ni  0.1103  0.2205  0.3040  3 V 2.46-2.60, 4 Ni 2.50-2.58, 2 Fe 2.70
Ni  0.0346  0.5932  0.8855  2 V 2.26-2.37, 5 Ni 2.28-2.51
Ni  0.5586  0.5932  0.8855  2 V 2.26-2.37, 5 Ni 2.28-2.51
Ni  0.0991  0.6927  0.3900  4 V 2.35-2.46, 5 Ni 2.37-2.58
Ni  0.5936  0.6927  0.3900  4 V 2.35-2.46, 5 Ni 2.37-2.58
Ni  0.4825  0.9650  0.6410  2 V 2.23-2.33, 1 Ni 2.39
Ni  0.5175  0.0350  0.3590  2 V 2.23-2.33, 1 Ni 2.39
Ni  0.9009  0.3073  0.6100  4 V 2.35-2.46, 5 Ni 2.37-2.58
Ni  0.4064  0.3073  0.6100  4 V 2.35-2.46, 5 Ni 2.37-2.58
Ni  0.9654  0.4068  0.1145  2 V 2.26-2.37, 5 Ni 2.28-2.51
Ni  0.4414  0.4068  0.1145  2 V 2.26-2.37, 5 Ni 2.28-2.51
Ni  0.8897  0.7795  0.6960  3 V 2.46-2.60, 4 Ni 2.50-2.58, 2 Fe 2.70

---

A geometry-optimized Re2AgCl2 structure. Source: the Alexandria database, functional PBE.

Values from the calculation:
E_form (uncorrected)	983	meV per atom

Lattice parameters (Å, degrees): 6.3433 6.3433 6.3433 141.86 141.86 55.03
With the nearest neighbours (Å) after each atom.
Element x y z (fractional)
Re  0.5973  0.5973  0.0000  1 Re 2.19
Re  0.4027  0.4027  0.0000  1 Re 2.19
Ag  0.0000  0.0000  0.0000  8 Re 3.13, 8 Cl 3.49
Cl  0.2500  0.7500  0.5000  4 Re 2.69, 4 Cl 2.93
Cl  0.7500  0.2500  0.5000  4 Re 2.69, 4 Cl 2.93

---

A geometry-optimized MgFe3Cl9 structure. Source: the Alexandria database, functional PBE.

Values from the calculation:
E_form (uncorrected)	-950	meV per atom

Lattice parameters (Å, degrees): 8.8396 9.7046 10.9060 74.89 66.09 62.91
With the nearest neighbours (Å) after each atom.
Element x y z (fractional)
Mg  0.0221  0.4990  0.0041  6 Cl 2.52-2.58
Mg  0.4748  0.9990  0.5041  6 Cl 2.52-2.58
Fe  0.8066  0.5595  0.6802  4 Cl 2.25-2.31
Fe  0.9537  0.0595  0.1802  4 Cl 2.25-2.31
Fe  0.0051  0.9443  0.8236  4 Cl 2.23-2.31
Fe  0.2270  0.4443  0.3236  4 Cl 2.23-2.31
Fe  0.5651  0.2451  0.7271  4 Cl 2.24-2.31
Fe  0.4627  0.7451  0.2271  4 Cl 2.24-2.31
Cl  0.3303  0.1854  0.3328  1 Fe 2.24
Cl  0.1516  0.6854  0.8328  1 Fe 2.24
Cl  0.3490  0.2959  0.9289  1 Fe 2.24
Cl  0.4262  0.7959  0.4289  1 Fe 2.24
Cl  0.1634  0.0802  0.6807  1 Fe 2.23
Cl  0.0757  0.5802  0.1807  1 Fe 2.23
Cl  0.7240  0.7385  0.0692  1 Fe 2.24
Cl  0.4683  0.2385  0.5692  1 Fe 2.24
Cl  0.8003  0.9441  0.3630  1 Fe 2.26, 1 Mg 2.52
Cl  0.8927  0.4441  0.8630  1 Fe 2.26, 1 Mg 2.52
Cl  0.5784  0.7956  0.6884  1 Fe 2.25
Cl  0.9376  0.2956  0.1884  1 Fe 2.25
Cl  0.4805  0.4981  0.2437  2 Fe 2.29-2.30
Cl  0.7777  0.9981  0.7437  2 Fe 2.29-2.30
Cl  0.7265  0.4003  0.6193  2 Fe 2.29-2.31
Cl  0.2539  0.9003  0.1193  2 Fe 2.29-2.31
Cl  0.8439  0.0716  0.0168  2 Fe 2.31
Cl  0.0676  0.5716  0.5168  2 Fe 2.31

---

A geometry-optimized KTa2Cu structure. Source: the Alexandria database, functional PBE.

Values from the calculation:
ΔE to the lowest computed polymorph	704	meV per atom
E_form	1.285	eV per atom

Lattice parameters (Å, degrees): 6.1902 6.1902 2.7221 90.00 90.00 127.64
With the nearest neighbours (Å) after each atom.
Element x y z (fractional)
Cu  0.5000  0.0000  0.5000  2 Cu 2.72, 2 K 2.73
K  0.0000  0.5000  0.5000  2 K 2.72, 2 Cu 2.73
Ta  0.0000  0.0000  0.0000  4 Ta 2.72-2.73
Ta  0.5000  0.5000  0.0000  4 Ta 2.72-2.73

---

A geometry-optimized K3Cu2AgI6 structure. Source: the Alexandria database, functional PBE.

Values from the calculation:
E_form (uncorrected)	-717	meV per atom

Lattice parameters (Å, degrees): 8.4901 8.4901 9.0958 90.00 90.00 120.00
With the nearest neighbours (Å) after each atom.
Element x y z (fractional)
K  0.3333  0.6667  0.6379  1 Cu 3.32
K  0.6667  0.3333  0.3621  1 Cu 3.32
K  0.0000  0.0000  0.0000  6 I 3.54
Cu  0.6667  0.3333  0.7276  3 I 2.52
Cu  0.3333  0.6667  0.2724  3 I 2.52
Ag  0.0000  0.0000  0.5000  6 I 3.07
I  0.6750  0.8375  0.2874  1 Cu 2.52
I  0.1625  0.3250  0.2874  1 Cu 2.52
I  0.1625  0.8375  0.2874  1 Cu 2.52
I  0.8375  0.6750  0.7126  1 Cu 2.52
I  0.3250  0.1625  0.7126  1 Cu 2.52
I  0.8375  0.1625  0.7126  1 Cu 2.52